[1]
## TlOsAu2 (PBE)

Data for a relaxed structure of TlOsAu2.

```
data_TlOsAu2
_chemical_formula_sum 'Tl2 Os2 Au4'
_cell_length_a 4.100
_cell_length_b 4.100
_cell_length_c 8.797
_cell_angle_alpha 90.00
_cell_angle_beta 90.00
_cell_angle_gamma 90.00
_space_group_name_H-M_alt 'I 4/m m m'
_space_group_IT_number 139
_space_group_name_Hall '-I 4 2'
loop_
_atom_site_label
_atom_site_fract_x
_atom_site_fract_y
_atom_site_fract_z
_atom_site_occupancy
Tl1 0.000 0.000 0.000 1
Os1 0.000 0.000 0.500 1
Au1 0.000 0.500 0.250 1
```

Calculated values
The total energy is -4.250 eV per atom. The energy relative to the elements is 788 meV/atom. As for the polymorph energy (0 for the lowest one): 195 meV per atom.



[2]
## TlOs2Au (PBE)

Data for a relaxed structure of TlOs2Au.

```
data_TlOs2Au
_chemical_formula_sum 'Tl3 Os6 Au3'
_cell_length_a 2.9237
_cell_length_b 2.9237
_cell_length_c 27.6617
_cell_angle_alpha 90.00
_cell_angle_beta 90.00
_cell_angle_gamma 120.00
_space_group_name_H-M_alt 'R -3 m'
_space_group_IT_number 166
_space_group_name_Hall '-R 3 2"'
loop_
_atom_site_label
_atom_site_fract_x
_atom_site_fract_y
_atom_site_fract_z
_atom_site_occupancy
Tl1 0.0000 0.0000 0.0000 1
Os1 0.0000 0.0000 0.2479 1
Au1 0.0000 0.0000 0.5000 1
```

Calculated values
The total energy is -6.041 eV per atom. The energy relative to the elements is 985 meV/atom. As for the polymorph energy (0 for the lowest one): 523 meV per atom.



[3]
## TlOs2Au (PBE)

Data for a relaxed structure of TlOs2Au.

```
data_TlOs2Au
_chemical_formula_sum 'Tl2 Os4 Au2'
_cell_length_a 4.095
_cell_length_b 4.095
_cell_length_c 8.139
_cell_angle_alpha 90.00
_cell_angle_beta 90.00
_cell_angle_gamma 90.00
_space_group_name_H-M_alt 'I 4/m m m'
_space_group_IT_number 139
_space_group_name_Hall '-I 4 2'
loop_
_atom_site_label
_atom_site_fract_x
_atom_site_fract_y
_atom_site_fract_z
_atom_site_occupancy
Tl1 0.000 0.000 0.000 1
Os1 0.000 0.500 0.250 1
Au1 0.000 0.000 0.500 1
```

Calculated values
The total energy is -5.925 eV per atom. The energy relative to the elements is 1100 meV/atom. As for the polymorph energy (0 for the lowest one): 638 meV per atom.